ZnCrSnF2 PBE+U optimized geometry; DOS at the Fermi energy = 0.31 states/eV per atom; crystal system = tetragonal; energy = -4.153 eV per atom
1.0
3.949 0.000 0.000
0.000 3.949 0.000
0.000 0.000 6.491
Zn Cr Sn F
1 1 1 2
Direct
0.000 0.000 0.000 Zn
0.000 0.000 0.500 Cr
0.500 0.500 0.500 Sn
0.000 0.500 0.000 F
0.500 0.000 0.000 F

NaCrGeF5 PBE+U optimized geometry; DOS at the Fermi energy = 0.00 states/eV per atom; crystal system = monoclinic; energy = -5.247 eV per atom
1.0
4.214 -4.406 0.000
4.214 4.406 0.000
-4.203 0.000 7.277
Na Cr Ge F
2 2 2 10
Direct
0.058 0.942 0.750 Na
0.942 0.058 0.250 Na
0.000 0.500 0.000 Cr
0.500 0.000 0.500 Cr
0.443 0.557 0.750 Ge
0.557 0.443 0.250 Ge
0.203 0.640 0.850 F
0.204 0.247 0.018 F
0.227 0.773 0.250 F
0.247 0.204 0.518 F
0.360 0.797 0.650 F
0.640 0.203 0.350 F
0.753 0.796 0.482 F
0.773 0.227 0.750 F
0.796 0.753 0.982 F
0.797 0.360 0.150 F